(1)
{
  "formula": "Pm2GaHg3",
  "functional": "PBE-GGA",
  "state": "relaxed",
  "e_above_lowest_polymorph_ev_per_fu": 0.00,
  "n_ef_per_ev_fu": 4.448,
  "formation_enthalpy_0k_mev_per_atom": -466,
  "final_energy_ev_per_atom": -2.705,
  "sg": "No. 25",
  "lattice_angstrom": [[3.643, 0.000, 0.000], [0.000, 4.864, 0.000], [0.000, 0.000, 8.393]],
  "species": ["Pm", "Pm", "Ga", "Hg", "Hg", "Hg"],
  "frac_coords": [[0.000, 0.500, 0.008], [0.000, 0.000, 0.495], [0.500, 0.500, 0.332], [0.500, 0.000, 0.833], [0.500, 0.000, 0.175], [0.500, 0.500, 0.657]]
}

***

(2)
{
  "formula": "BMoP2Cl",
  "functional": "PBE-GGA",
  "state": "relaxed",
  "e_above_lowest_polymorph_ev_per_fu": 0.00,
  "n_ef_per_ev_fu": 2.445,
  "formation_energy_uncorrected_ev_per_atom": 0.9790,
  "final_energy_ev_per_atom": -5.056,
  "sg": "No. 123",
  "lattice_angstrom": [[4.056, 0.000, 0.000], [0.000, 4.056, 0.000], [0.000, 0.000, 4.419]],
  "species": ["P", "P", "Mo", "B", "Cl"],
  "frac_coords": [[0.000, 0.500, 0.000], [0.500, 0.000, 0.000], [0.500, 0.500, 0.500], [0.000, 0.000, 0.000], [0.000, 0.000, 0.500]]
}

***

(3)
{
  "formula": "TiTl3Sn2Te6",
  "functional": "PBE-GGA",
  "state": "relaxed",
  "n_ef_per_ev_fu": 5.236,
  "formation_energy_uncorrected_ev_per_atom": -0.3986,
  "final_energy_ev_per_atom": -3.886,
  "sg": "No. 12",
  "lattice_angstrom": [[7.623, 0.016, 0.001], [-3.796, 6.610, 0.001], [-1.276, -2.209, 7.804]],
  "species": ["Ti", "Tl", "Tl", "Tl", "Sn", "Sn", "Te", "Te", "Te", "Te", "Te", "Te"],
  "frac_coords": [[0.000, 0.000, 0.000], [0.174, 0.826, 0.500], [0.826, 0.174, 0.500], [0.500, 0.500, 0.500], [0.335, 0.665, 0.000], [0.665, 0.335, 0.000], [0.932, 0.628, 0.796], [0.767, 0.767, 0.210], [0.068, 0.372, 0.204], [0.628, 0.932, 0.796], [0.233, 0.233, 0.790], [0.372, 0.068, 0.204]]
}

***

(4)
{
  "formula": "Pm4PrSm2",
  "functional": "PBE-GGA",
  "state": "relaxed",
  "e_above_lowest_polymorph_ev_per_fu": 1.04,
  "n_ef_per_ev_fu": 9.922,
  "formation_enthalpy_0k_mev_per_atom": 240,
  "final_energy_ev_per_atom": -4.506,
  "sg": "No. 139",
  "lattice_angstrom": [[-3.969, -2.371, 0.235], [2.077, -3.667, -1.914], [3.850, -0.804, 11.317]],
  "species": ["Pm", "Pm", "Pm", "Pm", "Pr", "Sm", "Sm"],
  "frac_coords": [[0.138, 0.138, 0.277], [0.862, 0.862, 0.723], [0.750, 0.250, 0.500], [0.250, 0.750, 0.500], [0.000, 0.000, 0.000], [0.597, 0.597, 0.194], [0.403, 0.403, 0.806]]
}

***

(5)
{
  "formula": "HoTm2Au",
  "functional": "PBE-GGA",
  "state": "relaxed",
  "e_above_lowest_polymorph_ev_per_fu": 0.64,
  "n_ef_per_ev_fu": 4.525,
  "formation_enthalpy_0k_mev_per_atom": -302,
  "final_energy_ev_per_atom": -4.501,
  "sg": "No. 160",
  "lattice_angstrom": [[-3.429, 0.314, 1.321], [-0.706, -0.849, 3.519], [0.454, 8.975, 4.190]],
  "species": ["Ho", "Tm", "Tm", "Au"],
  "frac_coords": [[0.501, 0.501, 0.497], [0.069, 0.069, 0.792], [0.264, 0.264, 0.209], [0.666, 0.666, 0.002]]
}

***

(6)
{
  "formula": "Re2NiHg",
  "functional": "PBE-GGA",
  "state": "relaxed",
  "n_ef_per_ev_fu": 3.632,
  "formation_enthalpy_0k_mev_per_atom": 582,
  "final_energy_ev_per_atom": -7.163,
  "sg": "No. 119",
  "lattice_angstrom": [[-3.269, -3.105, 1.523], [2.285, -3.577, 2.152], [0.331, 4.709, 0.607]],
  "species": ["Hg", "Ni", "Re", "Re"],
  "frac_coords": [[0.500, 0.500, 0.000], [0.750, 0.250, 0.500], [0.000, 0.000, 0.000], [0.250, 0.750, 0.500]]
}

***

(7)
{
  "formula": "CdOs2Ru",
  "functional": "PBE-GGA",
  "state": "relaxed",
  "n_ef_per_ev_fu": 4.898,
  "formation_enthalpy_0k_mev_per_atom": 745,
  "final_energy_ev_per_atom": -7.418,
  "sg": "No. 47",
  "lattice_angstrom": [[-1.523, -1.387, 1.966], [-3.015, -1.330, -3.274], [2.548, -3.887, -0.768]],
  "species": ["Cd", "Os", "Os", "Ru"],
  "frac_coords": [[0.000, 0.500, 0.500], [0.000, 0.000, 0.000], [0.500, 0.500, 0.000], [0.500, 0.000, 0.500]]
}

***

(8)
{
  "formula": "DyInCo",
  "functional": "PBE-GGA",
  "state": "relaxed",
  "n_ef_per_ev_fu": 1.904,
  "formation_enthalpy_0k_mev_per_atom": -204,
  "final_energy_ev_per_atom": -5.020,
  "sg": "No. 14",
  "lattice_angstrom": [[6.074, 0.000, 0.000], [0.000, 6.292, 0.444], [0.000, 3.372, 6.829]],
  "species": ["In", "In", "In", "In", "Dy", "Dy", "Dy", "Dy", "Co", "Co", "Co", "Co"],
  "frac_coords": [[0.833, 0.677, 0.019], [0.333, 0.823, 0.481], [0.167, 0.323, 0.981], [0.667, 0.177, 0.519], [0.830, 0.639, 0.594], [0.330, 0.861, 0.906], [0.170, 0.361, 0.406], [0.670, 0.139, 0.094], [0.557, 0.642, 0.287], [0.057, 0.858, 0.213], [0.443, 0.358, 0.713], [0.943, 0.142, 0.787]]
}

***

(9)
{
  "formula": "Pr7Y",
  "functional": "PBE-GGA",
  "state": "relaxed",
  "n_ef_per_ev_fu": 10.078,
  "formation_enthalpy_0k_mev_per_atom": 5,
  "final_energy_ev_per_atom": -4.985,
  "sg": "No. 225",
  "lattice_angstrom": [[7.394, 0.000, 0.000], [3.697, 6.404, 0.000], [3.697, 2.135, 6.038]],
  "species": ["Pr", "Pr", "Pr", "Pr", "Pr", "Pr", "Pr", "Y"],
  "frac_coords": [[0.500, 0.500, 0.000], [0.500, 0.000, 0.500], [0.000, 0.500, 0.500], [0.500, 0.000, 0.000], [0.000, 0.500, 0.000], [0.000, 0.000, 0.500], [0.500, 0.500, 0.500], [0.000, 0.000, 0.000]]
}

***

(10)
{
  "formula": "AlTc",
  "functional": "PBE-GGA",
  "state": "relaxed",
  "e_above_lowest_polymorph_ev_per_fu": 4.10,
  "n_ef_per_ev_fu": 4.011,
  "formation_enthalpy_0k_mev_per_atom": 1638,
  "final_energy_ev_per_atom": -5.416,
  "sg": "No. 223",
  "lattice_angstrom": [[-4.002, 4.495, 3.359], [-4.233, 0.290, -5.431], [-3.684, -5.217, 2.592]],
  "species": ["Al", "Al", "Al", "Al", "Al", "Al", "Tc", "Tc", "Tc", "Tc", "Tc", "Tc"],
  "frac_coords": [[0.250, 0.500, 0.000], [0.750, 0.500, 0.000], [0.500, 0.000, 0.250], [0.500, 0.000, 0.750], [0.000, 0.250, 0.500], [0.000, 0.750, 0.500], [0.250, 0.000, 0.500], [0.750, 0.000, 0.500], [0.000, 0.500, 0.250], [0.000, 0.500, 0.750], [0.500, 0.250, 0.000], [0.500, 0.750, 0.000]]
}

***

(11)
{
  "formula": "Cs2MgGaF",
  "functional": "PBE-GGA",
  "state": "relaxed",
  "n_ef_per_ev_fu": 2.545,
  "formation_energy_uncorrected_ev_per_atom": -0.4860,
  "final_energy_ev_per_atom": -2.126,
  "sg": "No. 123",
  "lattice_angstrom": [[6.894, 0.000, 0.000], [0.000, 5.120, 0.000], [0.000, 0.000, 6.894]],
  "species": ["Cs", "Cs", "Mg", "Ga", "F"],
  "frac_coords": [[0.000, 0.000, 0.500], [0.500, 0.000, 0.000], [0.000, 0.500, 0.000], [0.000, 0.000, 0.000], [0.500, 0.500, 0.500]]
}

***

(12)
{
  "formula": "LaGdGa",
  "functional": "PBE-GGA",
  "state": "relaxed",
  "e_above_lowest_polymorph_ev_per_fu": 0.22,
  "n_ef_per_ev_fu": 2.446,
  "formation_enthalpy_0k_mev_per_atom": -293,
  "final_energy_ev_per_atom": -7.638,
  "sg": "No. 156",
  "lattice_angstrom": [[3.861, 0.000, 0.000], [0.000, 5.021, 0.000], [0.000, -2.510, 4.348]],
  "species": ["Gd", "Ga", "La"],
  "frac_coords": [[0.072, 0.000, 0.000], [0.282, 0.333, 0.667], [0.646, 0.667, 0.333]]
}

***

Number 5 is which compound?
HoTm2Au